A plane-wave DFT calculation with PBE was carried out for an optimized crystal structure of LiY2AgTe4.

Output
- Final energy: -4.857 eV/atom
- Magnetization: 0.00 μB per formula unit
- Raw formation energy: -1.0747 eV/atom
- Calculated volume: 234 Å³ per cell

a b c (Å): 4.375 7.568 7.521
angles (deg): 110.01 90.00 90.00
Positions (direct):
Y  0.000  0.500  0.500
Te  0.000  0.254  0.754
Te  0.000  0.746  0.246
Y  0.500  0.000  0.500
Te  0.500  0.248  0.245
Li  0.500  0.500  0.000
Ag  0.000  0.000  0.000
Te  0.500  0.752  0.755